No. 1
A plane-wave DFT calculation with GGA-PBE was carried out for a relaxed structure of Ba6Ag2HgN.

## Properties
Total magnetic moment in μB/atom: 0.000
DFT total energy in eV/atom: -2.865
ΔE_f (raw) in eV per atom: -0.279

```
data_Ba6Ag2HgN
_chemical_formula_sum 'Ba12 Ag4 Hg2 N2'
_space_group_name_H-M_alt 'P 1 21/c 1'
_space_group_IT_number 14
_cell_length_a 7.986
_cell_length_b 8.755
_cell_length_c 13.685
_cell_angle_alpha 90.00
_cell_angle_beta 122.53
_cell_angle_gamma 90.00
loop_
_space_group_symop_operation_xyz
'x,y,z'
'-x,-y,-z'
'-x,y+1/2,-z+1/2'
'x,-y+1/2,z+1/2'
loop_
_atom_site_label
_atom_site_fract_x
_atom_site_fract_y
_atom_site_fract_z
Ba1 0.087 0.037 0.224
Ba2 0.202 0.710 0.062
Ba3 0.355 0.156 0.060
Ag1 0.305 0.109 0.756
Hg1 0.500 0.000 0.500
N1 0.000 0.000 0.000
```

No. 2
A plane-wave DFT calculation with GGA-PBE was carried out for a relaxed structure of KReSi4.

## Properties
Total magnetic moment in μB/atom: 0.151
DFT total energy in eV/atom: -4.961
ΔE_f (raw) in eV per atom: 0.912

```
data_KReSi4
_chemical_formula_sum 'K4 Re4 Si16'
_space_group_name_H-M_alt 'F -4 3 m'
_space_group_IT_number 216
_space_group_name_Hall 'F -4 2 3'
_cell_length_a 7.327
_cell_length_b 7.327
_cell_length_c 7.327
_cell_angle_alpha 90.00
_cell_angle_beta 90.00
_cell_angle_gamma 90.00
loop_
_atom_site_label
_atom_site_fract_x
_atom_site_fract_y
_atom_site_fract_z
K1 0.000 0.000 0.000
Re1 0.250 0.250 0.750
Si1 0.122 0.122 0.378
```

No. 3
A plane-wave DFT calculation with GGA-PBE was carried out for a relaxed structure of Ce4Bi2Ru.

## Properties
Total magnetic moment in μB/atom: 0.525
DFT total energy in eV/atom: -6.321

```
data_Ce4Bi2Ru
_chemical_formula_sum 'Ce8 Bi4 Ru2'
_space_group_name_H-M_alt 'P 1 21/m 1'
_space_group_IT_number 11
_cell_length_a 6.708
_cell_length_b 6.608
_cell_length_c 9.769
_cell_angle_alpha 90.00
_cell_angle_beta 108.76
_cell_angle_gamma 90.00
loop_
_space_group_symop_operation_xyz
'x,y,z'
'-x,-y,-z'
'-x,y+1/2,-z'
'x,-y+1/2,z'
loop_
_atom_site_label
_atom_site_fract_x
_atom_site_fract_y
_atom_site_fract_z
Ce1 0.201 0.250 0.115
Ce2 0.244 0.525 0.755
Ce3 0.288 0.750 0.420
Bi1 0.189 0.250 0.454
Bi2 0.339 0.750 0.070
Ru1 0.007 0.250 0.822
```

> The highest total magnetic moment belongs to which entry?

Ce4Bi2Ru

> What is the formula in the third record?

Ce4Bi2Ru